Record 1
This record from Alexandria via LeMat-Bulk describes a relaxed structure of NaCr2Ir2. The functional is GGA-PBE.

Unit cell a=7.5211 b=7.5211 c=2.6567 alpha=90.00 beta=90.00 gamma=90.00
Space group P4/mbm (No. 127)
Asymmetric unit:
Na  0.0000  0.0000  0.0000
Cr  0.1128  0.3872  0.0000
Ir  0.1692  0.6692  0.5000

**ΔH_f (0 K)**: 0.090 eV per atom
**Crystal system**: tetragonal
**ΔE to the lowest computed polymorph**: 0.00 eV per formula unit
**Total magnetization**: 0.0 μB/f.u.

Record 2
This record from Alexandria via LeMat-Bulk describes a relaxed structure of La2PdC. The functional is GGA-PBE.

Unit cell a=7.0995 b=7.0995 c=8.1353 alpha=90.00 beta=90.00 gamma=90.00
Space group I-42d (No. 122)
Asymmetric unit:
La  0.1904  0.7500  0.1250
Pd  0.0000  0.0000  0.5000
C  0.0000  0.0000  0.0000

**ΔH_f (0 K)**: -0.185 eV per atom
**Crystal system**: tetragonal
**Total magnetization**: 0.0 μB/f.u.

Record 3
This record from Alexandria via LeMat-Bulk describes a relaxed structure of MnTeSe. The functional is GGA-PBE.

Unit cell a=3.6655 b=3.6655 c=6.3304 alpha=90.00 beta=90.00 gamma=120.00
Space group P3m1 (No. 156)
Asymmetric unit:
Mn  0.0000  0.0000  0.0000
Te  0.3333  0.6667  0.7352
Se  0.6667  0.3333  0.2071

**E_form (uncorrected)**: -1.01 eV per formula unit
**Crystal system**: trigonal
**ΔE to the lowest computed polymorph**: 0.00 eV per formula unit
**Total magnetization**: 3.0 μB/f.u.

Record 4
This record from Alexandria via LeMat-Bulk describes a relaxed structure of In2Ni2Mo. The functional is GGA-PBE.

Unit cell a=7.3091 b=7.3091 c=2.9595 alpha=90.00 beta=90.00 gamma=90.00
Space group P4/mbm (No. 127)
Asymmetric unit:
In  0.1733  0.3267  0.0000
Ni  0.1236  0.6236  0.5000
Mo  0.0000  0.0000  0.5000

**ΔH_f (0 K)**: 0.209 eV per atom
**Crystal system**: tetragonal
**Total magnetization**: 0.0 μB/f.u.

Record 5
This record from Alexandria via LeMat-Bulk describes a relaxed structure of Hf2TcSb. The functional is GGA-PBE.

Unit cell a=4.1935 b=4.1935 c=19.5819 alpha=90.00 beta=90.00 gamma=90.00
Space group I-42d (No. 122)
Asymmetric unit:
Hf  0.2488  0.2500  0.1250
Tc  0.0000  0.0000  0.0000
Sb  0.0000  0.0000  0.5000

**E_form (uncorrected)**: 1.57 eV per formula unit
**Crystal system**: tetragonal
**Total magnetization**: 0.4 μB/f.u.

Record 6
This record from Alexandria via LeMat-Bulk describes a relaxed structure of ErCdInAu. The functional is GGA-PBE.

Unit cell a=7.0742 b=7.0742 c=7.0742 alpha=90.00 beta=90.00 gamma=90.00
Space group F-43m (No. 216)
Asymmetric unit:
Er  0.0000  0.0000  0.0000
Cd  0.2500  0.2500  0.2500
In  0.0000  0.0000  0.5000
Au  0.2500  0.2500  0.7500

**ΔH_f (0 K)**: -0.453 eV per atom
**Crystal system**: cubic
**Total magnetization**: 0.0 μB/f.u.

Record 7
This record from Alexandria via LeMat-Bulk describes a relaxed structure of ZnTeSeN2. The functional is GGA-PBE.

Unit cell a=3.9138 b=3.9138 c=6.0865 alpha=90.00 beta=90.00 gamma=90.00
Space group P4/mmm (No. 123)
Asymmetric unit:
Zn  0.0000  0.0000  0.0000
Te  0.5000  0.5000  0.5000
Se  0.5000  0.5000  0.0000
N  0.0000  0.5000  0.5000

**E_form (uncorrected)**: 6.00 eV per formula unit
**Crystal system**: tetragonal
**ΔE to the lowest computed polymorph**: 0.00 eV per formula unit
**Total magnetization**: 0.0 μB/f.u.

Record 8
This record from Alexandria via LeMat-Bulk describes a relaxed structure of PrHo2Bi. The functional is GGA-PBE.

Unit cell a=4.0475 b=4.0475 c=7.5134 alpha=90.00 beta=90.00 gamma=90.00
Space group P4/mmm (No. 123)
Asymmetric unit:
Pr  0.0000  0.0000  0.0000
Ho  0.5000  0.5000  0.2773
Bi  0.0000  0.0000  0.5000

**ΔH_f (0 K)**: -0.339 eV per atom
**Crystal system**: tetragonal
**ΔE to the lowest computed polymorph**: 0.25 eV per formula unit
**Total magnetization**: 0.0 μB/f.u.

Record 9
This record from Alexandria via LeMat-Bulk describes a relaxed structure of CsTl2InRu. The functional is GGA-PBE.

Unit cell a=5.4225 b=5.4225 c=5.3120 alpha=90.00 beta=90.00 gamma=90.00
Space group P4/mmm (No. 123)
Asymmetric unit:
Cs  0.0000  0.0000  0.0000
Tl  0.0000  0.5000  0.5000
In  0.5000  0.5000  0.0000
Ru  0.5000  0.5000  0.5000

**ΔH_f (0 K)**: -0.007 eV per atom
**Crystal system**: tetragonal
**Total magnetization**: 0.0 μB/f.u.

Record 10
This record from Alexandria via LeMat-Bulk describes a relaxed structure of Ni4TeAu. The functional is GGA-PBE.

Unit cell a=6.9483 b=6.9483 c=6.9483 alpha=90.00 beta=90.00 gamma=90.00
Space group F-43m (No. 216)
Asymmetric unit:
Ni  0.1253  0.1253  0.1253
Te  0.2500  0.2500  0.7500
Au  0.0000  0.0000  0.5000

**E_form (uncorrected)**: 1.09 eV per formula unit
**Crystal system**: cubic
**Total magnetization**: 0.0 μB/f.u.

Record 11
This record from Alexandria via LeMat-Bulk describes a relaxed structure of PrBiPb2. The functional is GGA-PBE.

Unit cell a=3.5873 b=3.5873 c=36.4250 alpha=90.00 beta=90.00 gamma=120.00
Space group R-3m (No. 166, hexagonal axes)
Asymmetric unit:
Pr  0.0000  0.0000  0.0000
Bi  0.0000  0.0000  0.5000
Pb  0.0000  0.0000  0.0898

**ΔH_f (0 K)**: 0.136 eV per atom
**Crystal system**: trigonal
**Total magnetization**: 0.0 μB/f.u.

Record 12
This record from Alexandria via LeMat-Bulk describes a relaxed structure of Pm2NdDy2Er. The functional is GGA-PBE.

Unit cell a=6.1231 b=18.3913 c=3.5617 alpha=90.00 beta=90.00 gamma=90.00
Space group Pnnm (No. 58)
Asymmetric unit:
Pm  0.1631  0.1566  0.0000
Nd  0.0000  0.5000  0.5000
Dy  0.1624  0.3435  0.0000
Er  0.0000  0.0000  0.5000

**ΔH_f (0 K)**: 0.102 eV per atom
**Crystal system**: orthorhombic
**Total magnetization**: 0.0 μB/f.u.